1.
Material: KZr2V
Method: DFT, PBE
State: optimized geometry

abc: 7.2279 7.2279 7.2279
angles: 90.00 90.00 90.00
With the nearest neighbours (Å) after each atom.
Space group Fm-3m (No. 225)
Asymmetric unit:
K (0.0000, 0.0000, 0.0000) x4  8 Zr 3.13
Zr (0.2500, 0.2500, 0.2500) x8  4 K 3.13, 4 V 3.13
V (0.0000, 0.0000, 0.5000) x4  8 Zr 3.13

Values from the calculation:
* ΔH_f (0 K): 4.29 eV per formula unit
* energy above the most stable polymorph in this dataset: 0 meV per atom
* energy: -5.7556 eV per atom
* M_tot: 3.318 μB/f.u.


2.
Material: K2ZrV
Method: DFT, PBE
State: optimized geometry

abc: 12.7688 12.7688 4.7378
angles: 90.00 90.00 90.00
With the nearest neighbours (Å) after each atom.
Space group I-42d (No. 122)
Asymmetric unit:
K (0.1047, 0.7500, 0.1250) x8  2 V 3.51, 2 Zr 3.89
Zr (0.0000, 0.0000, 0.5000) x4  2 V 2.37
V (0.0000, 0.0000, 0.0000) x4  2 Zr 2.37

Values from the calculation:
* ΔH_f (0 K): 5.50 eV per formula unit
* energy above the most stable polymorph in this dataset: 0 meV per atom
* energy: -3.5913 eV per atom
* M_tot: 3.043 μB/f.u.


3.
Material: K3ZrV
Method: DFT, PBE
State: optimized geometry

abc: 6.6860 6.6860 6.6860
angles: 90.00 90.00 90.00
With the nearest neighbours (Å) after each atom.
Space group Pm-3m (No. 221)
Asymmetric unit:
K (0.0000, 0.0000, 0.5000) x3  2 Zr 3.34
Zr (0.0000, 0.0000, 0.0000) x1  6 K 3.34
V (0.5000, 0.5000, 0.5000) x1  12 K 4.73

Values from the calculation:
* ΔH_f (0 K): 9.12 eV per formula unit
* energy: -2.3677 eV per atom
* M_tot: 8.207 μB/f.u.


4.
Material: KZr3V
Method: DFT, PBE
State: optimized geometry

abc: 4.8855 4.8855 4.8855
angles: 90.00 90.00 90.00
With the nearest neighbours (Å) after each atom.
Space group Pm-3m (No. 221)
Asymmetric unit:
K (0.0000, 0.0000, 0.0000) x1  6 Zr 2.44
Zr (0.0000, 0.0000, 0.5000) x3  2 K 2.44
V (0.5000, 0.5000, 0.5000) x1  12 Zr 3.45

Values from the calculation:
* ΔH_f (0 K): 10.62 eV per formula unit
* energy above the most stable polymorph in this dataset: 1244 meV per atom
* energy: -5.0479 eV per atom
* M_tot: 2.206 μB/f.u.


5.
Material: KZr3V
Method: DFT, PBE
State: optimized geometry

abc: 5.1297 5.1297 5.1297
angles: 90.00 90.00 90.00
With the nearest neighbours (Å) after each atom.
Space group Pm-3m (No. 221)
Asymmetric unit:
K (0.0000, 0.0000, 0.0000) x1  12 Zr 3.63
Zr (0.0000, 0.5000, 0.5000) x3  2 V 2.56
V (0.5000, 0.5000, 0.5000) x1  6 Zr 2.56

Values from the calculation:
* ΔH_f (0 K): 4.40 eV per formula unit
* energy above the most stable polymorph in this dataset: 0 meV per atom
* energy: -6.2920 eV per atom
* M_tot: 0.000 μB/f.u.


6.
Material: KW3
Method: DFT, PBE
State: optimized geometry

abc: 2.8095 2.8095 11.2462
angles: 90.00 90.00 120.00
With the nearest neighbours (Å) after each atom.
Space group P-6m2 (No. 187)
Asymmetric unit:
K (0.0000, 0.0000, 0.0000) x1  6 K 2.81
W (0.0000, 0.0000, 0.5000) x1  12 W 2.81-2.93
W (0.6667, 0.3333, 0.2827) x2  9 W 2.81-2.93

Values from the calculation:
* ΔH_f (0 K): 4.13 eV per formula unit
* energy above the most stable polymorph in this dataset: 14 meV per atom
* energy: -8.9579 eV per atom
* M_tot: 0.000 μB/f.u.


7.
Material: K2W
Method: DFT, PBE
State: optimized geometry

abc: 3.0485 3.0485 10.2981
angles: 90.00 90.00 120.00
With the nearest neighbours (Å) after each atom.
Space group P-3m1 (No. 164)
Asymmetric unit:
K (0.3333, 0.6667, 0.2918) x2  6 K 3.05
W (0.0000, 0.0000, 0.0000) x1  6 W 3.05

Values from the calculation:
* ΔH_f (0 K): 4.68 eV per formula unit
* energy above the most stable polymorph in this dataset: 553 meV per atom
* energy: -3.4908 eV per atom
* M_tot: 0.129 μB/f.u.


8.
Material: K2W
Method: DFT, PBE
State: optimized geometry

abc: 6.5642 6.5642 2.8391
angles: 90.00 90.00 90.00
With the nearest neighbours (Å) after each atom.
Space group P4/mmm (No. 123)
Asymmetric unit:
K (0.0000, 0.5000, 0.0000) x2  2 K 2.84
W (0.0000, 0.0000, 0.5000) x1  2 W 2.84

Values from the calculation:
* ΔH_f (0 K): 5.33 eV per formula unit
* energy above the most stable polymorph in this dataset: 771 meV per atom
* energy: -3.2731 eV per atom
* M_tot: 2.777 μB/f.u.


9.
Material: K2W
Method: DFT, PBE
State: optimized geometry

abc: 9.8145 9.8145 9.8145
angles: 90.00 90.00 90.00
With the nearest neighbours (Å) after each atom.
Space group Fd-3m (No. 227, origin choice 2)
Asymmetric unit:
K (0.0000, 0.0000, 0.0000) x16  6 K 3.47
W (0.1250, 0.1250, 0.6250) x8  12 K 4.07, 4 W 4.25

Values from the calculation:
* ΔH_f (0 K): 6.67 eV per formula unit
* energy above the most stable polymorph in this dataset: 1217 meV per atom
* energy: -2.8266 eV per atom
* M_tot: 4.749 μB/f.u.


10.
Material: K2W
Method: DFT, PBE
State: optimized geometry

abc: 13.5755 3.3955 11.4925
angles: 90.00 111.67 90.00
With the nearest neighbours (Å) after each atom.
Space group C2/m (No. 12)
Asymmetric unit:
K (0.0119, 0.0000, 0.1700) x4  3 K 3.40-3.80, 3 W 3.60-3.74
K (0.1664, 0.5000, 0.6270) x4  2 K 3.40, 2 W 3.77
W (0.2266, 0.5000, 0.0581) x4  2 W 2.39

Values from the calculation:
* ΔH_f (0 K): 3.04 eV per formula unit
* energy above the most stable polymorph in this dataset: 8 meV per atom
* energy: -4.0361 eV per atom
* M_tot: 0.000 μB/f.u.


11.
Material: KW3
Method: DFT, PBE
State: optimized geometry

abc: 9.8215 9.8215 2.6384
angles: 90.00 90.00 120.00
With the nearest neighbours (Å) after each atom.
Space group R-3m (No. 166, hexagonal axes)
Asymmetric unit:
K (0.0000, 0.0000, 0.0000) x3  2 K 2.64
W (0.0000, 0.5000, 0.0000) x9  2 W 2.64

Values from the calculation:
* ΔH_f (0 K): 6.31 eV per formula unit
* energy above the most stable polymorph in this dataset: 561 meV per atom
* energy: -8.4110 eV per atom
* M_tot: 0.000 μB/f.u.


12.
Material: K5W
Method: DFT, PBE
State: optimized geometry

abc: 15.3070 4.7284 10.0608
angles: 90.00 110.40 90.00
With the nearest neighbours (Å) after each atom.
Space group C2/m (No. 12)
Asymmetric unit:
K (0.0000, 0.0000, 0.0000) x2  10 K 4.27-4.73
K (0.1365, 0.5000, 0.3679) x4  2 W 3.70, 1 K 4.08
K (0.1571, 0.5000, 0.7830) x4  2 W 3.83, 2 K 4.08-4.21
W (0.0000, 0.0000, 0.5000) x2  8 K 3.70-3.83

Values from the calculation:
* ΔH_f (0 K): 5.98 eV per formula unit
* energy above the most stable polymorph in this dataset: 0 meV per atom
* energy: -2.0775 eV per atom
* M_tot: 5.203 μB/f.u.


13.
Material: KW4
Method: DFT, PBE
State: optimized geometry

abc: 4.4523 4.4523 4.4523
angles: 90.00 90.00 90.00
With the nearest neighbours (Å) after each atom.
Space group Pm-3m (No. 221)
Asymmetric unit:
K (0.0000, 0.0000, 0.0000) x1  6 W 2.23
W (0.0000, 0.0000, 0.5000) x3  2 K 2.23
W (0.5000, 0.5000, 0.5000) x1  12 W 3.15

Values from the calculation:
* ΔH_f (0 K): 18.27 eV per formula unit
* energy above the most stable polymorph in this dataset: 2210 meV per atom
* energy: -6.9279 eV per atom
* M_tot: 0.000 μB/f.u.


14.
Material: KW4
Method: DFT, PBE
State: optimized geometry

abc: 5.8273 5.8273 5.8273
angles: 90.00 90.00 90.00
With the nearest neighbours (Å) after each atom.
Space group Im-3m (No. 229)
Asymmetric unit:
K (0.0000, 0.0000, 0.0000) x2  8 W 2.52
W (0.2500, 0.2500, 0.2500) x8  2 K 2.52

Values from the calculation:
* ΔH_f (0 K): 17.46 eV per formula unit
* energy above the most stable polymorph in this dataset: 2049 meV per atom
* energy: -7.0898 eV per atom
* M_tot: 0.000 μB/f.u.


15.
Material: KW3
Method: DFT, PBE
State: optimized geometry

abc: 2.8522 5.4638 10.5257
angles: 90.00 90.00 90.00
With the nearest neighbours (Å) after each atom.
Space group Immm (No. 71)
Asymmetric unit:
K (0.0000, 0.0000, 0.0000) x2  2 K 2.85, 4 W 3.08
W (0.0000, 0.0000, 0.5000) x2  6 W 2.62-2.85
W (0.0000, 0.5000, 0.2090) x4  4 W 2.62-2.85

Values from the calculation:
* ΔH_f (0 K): 6.31 eV per formula unit
* energy above the most stable polymorph in this dataset: 560 meV per atom
* energy: -8.4120 eV per atom
* M_tot: 0.774 μB/f.u.


16.
Material: KW4
Method: DFT, PBE
State: optimized geometry

abc: 6.2630 6.2630 4.6869
angles: 90.00 90.00 90.00
With the nearest neighbours (Å) after each atom.
Space group I4/m (No. 87)
Asymmetric unit:
K (0.0000, 0.0000, 0.0000) x2  12 W 2.99-3.05
W (0.0641, 0.3059, 0.5000) x8  3 W 2.56-2.77

Values from the calculation:
* ΔH_f (0 K): 7.22 eV per formula unit
* energy above the most stable polymorph in this dataset: 0 meV per atom
* energy: -9.1383 eV per atom
* M_tot: 0.000 μB/f.u.


17.
Material: K3W5
Method: DFT, PBE
State: optimized geometry

abc: 10.2864 11.8263 2.7202
angles: 90.00 90.00 90.00
With the nearest neighbours (Å) after each atom.
Space group Cmmm (No. 65)
Asymmetric unit:
K (0.0000, 0.0000, 0.0000) x2  6 K 2.72-2.81
K (0.2394, 0.0000, 0.5000) x4  4 K 2.72-2.81, 2 W 3.01
W (0.0000, 0.2889, 0.5000) x4  8 W 2.72-2.95
W (0.0000, 0.5000, 0.0000) x2  6 W 2.72-2.84, 4 K 3.01
W (0.2500, 0.2500, 0.0000) x4  6 W 2.72-2.95

Values from the calculation:
* ΔH_f (0 K): 12.73 eV per formula unit
* energy: -6.9156 eV per atom
* M_tot: 0.001 μB/f.u.


18.
Material: K2W
Method: DFT, PBE
State: optimized geometry

abc: 2.9258 2.9258 20.2984
angles: 90.00 90.00 90.00
With the nearest neighbours (Å) after each atom.
Space group I4/mmm (No. 139)
Asymmetric unit:
K (0.0000, 0.0000, 0.1407) x4  4 K 2.93
W (0.0000, 0.0000, 0.5000) x2  4 W 2.93

Values from the calculation:
* ΔH_f (0 K): 4.65 eV per formula unit
* energy above the most stable polymorph in this dataset: 545 meV per atom
* energy: -3.4986 eV per atom
* M_tot: 0.000 μB/f.u.


19.
Material: KW3
Method: DFT, PBE
State: optimized geometry

abc: 9.2528 2.6576 7.6069
angles: 90.00 90.77 90.00
With the nearest neighbours (Å) after each atom.
Space group C2/m (No. 12)
Asymmetric unit:
K (0.0000, 0.0000, 0.0000) x2  2 K 2.66
W (0.0000, 0.5000, 0.5000) x2  8 W 2.66-2.84
W (0.2407, 0.0000, 0.6567) x4  7 W 2.66-2.84

Values from the calculation:
* ΔH_f (0 K): 5.11 eV per formula unit
* energy above the most stable polymorph in this dataset: 260 meV per atom
* energy: -8.7118 eV per atom
* M_tot: 0.000 μB/f.u.


20.
Material: KW3
Method: DFT, PBE
State: optimized geometry

abc: 5.2403 5.2403 2.7030
angles: 90.00 90.00 90.00
With the nearest neighbours (Å) after each atom.
Space group P4/mmm (No. 123)
Asymmetric unit:
K (0.0000, 0.0000, 0.0000) x1  2 K 2.70, 8 W 2.95
W (0.0000, 0.5000, 0.5000) x2  6 W 2.70-2.95, 4 K 2.95
W (0.5000, 0.5000, 0.0000) x1  10 W 2.70-2.95

Values from the calculation:
* ΔH_f (0 K): 7.35 eV per formula unit
* energy above the most stable polymorph in this dataset: 819 meV per atom
* energy: -8.1529 eV per atom
* M_tot: 0.000 μB/f.u.